AcNd4Sm2Tm, relaxed, DFT PBE; DFT formation energy = 0.024 eV/atom; SG = Pmmm
1.0
5.216 0.000 0.000
0.000 4.999 1.392
0.000 2.200 11.439
Ac Nd Sm Tm
1 4 2 1
Direct
0.500 0.500 0.000
0.000 0.758 0.742
0.000 0.242 0.258
0.500 0.742 0.258
0.500 0.258 0.742
0.000 0.000 0.000
0.500 0.000 0.500
0.000 0.500 0.500